The following is a DFT calculation (PBE) of a relaxed Zr3TlH crystal.

Output
Final energy (eV/atom): -6.4591
Symmetry: P1 (1)

Lattice parameters (Å, degrees): 5.2878 6.1640 7.7394 75.56 69.98 115.33
Last column: nearest neighbours and their distance in Å.
Sites, in units of the cell vectors:
Zr1 0.7464 0.3739 0.4797  2 H 2.03-2.05
Zr2 0.9963 0.1181 0.7206  2 H 2.03-2.08
Zr3 0.6281 0.5060 0.8611  1 H 2.05
Zr4 0.2342 0.8707 0.9829  1 H 2.04
Zr5 0.1139 0.9908 0.3554  1 H 2.05
Zr6 0.3795 0.7554 0.6175  1 H 2.05
Tl1 0.8845 0.2484 0.0942  2 H 3.08-3.17, 1 Tl 3.09, 8 Zr 3.10-3.30
Tl2 0.4887 0.6304 0.2436  1 Tl 3.09, 8 Zr 3.10-3.31, 1 H 3.17
H1 0.6696 0.2313 0.7719  4 Zr 2.03-2.08
H2 0.3179 0.0637 0.5345  4 Zr 2.03-2.05

***

The following is a DFT calculation (PBE) of a relaxed Ac2AlSiPd crystal.

Output
Final energy (eV/atom): -5.0964
Symmetry: P4/nmm (129)

Lattice parameters (Å, degrees): 4.4499 4.4499 14.7644 90.00 90.00 90.00
Last column: nearest neighbours and their distance in Å.
Sites, in units of the cell vectors:
Al1 0.5000 0.5000 0.5000  4 Pd 2.60
Al2 0.0000 0.0000 0.5000  4 Pd 2.60
Ac1 0.0000 0.5000 0.1058  5 Si 3.15-3.25
Ac2 0.5000 0.0000 0.8942  5 Si 3.15-3.25
Ac3 0.0000 0.5000 0.6778  1 Si 3.07, 4 Pd 3.40
Ac4 0.5000 0.0000 0.3222  1 Si 3.07, 4 Pd 3.40
Si1 0.0000 0.5000 0.8854  6 Ac 3.07-3.25
Si2 0.5000 0.0000 0.1146  6 Ac 3.07-3.25
Pd1 0.0000 0.5000 0.4092  4 Al 2.60
Pd2 0.5000 0.0000 0.5908  4 Al 2.60

***

The following is a DFT calculation (PBE) of a relaxed AcPuN crystal.

Output
Energy above the lowest structure with this stoichiometry (meV per atom): 0
Symmetry: P2_1/m (11)

Lattice parameters (Å, degrees): 3.5966 3.5901 11.5737 90.00 69.37 90.00
Last column: nearest neighbours and their distance in Å.
Sites, in units of the cell vectors:
Pu1 0.6961 0.7500 0.4458  1 N 2.08
Pu2 0.3039 0.2500 0.5542  1 N 2.08
N1 0.0363 0.2500 0.7455  1 Pu 2.08
N2 0.9637 0.7500 0.2545  1 Pu 2.08
Ac1 0.4630 0.7500 0.8113  4 N 2.64
Ac2 0.5370 0.2500 0.1887  4 N 2.64

***

The following is a DFT calculation (PBE) of a relaxed TaTi3Sn crystal.

Output
Energy above the lowest structure with this stoichiometry (meV per atom): 98
Symmetry: C2/m (12)

Lattice parameters (Å, degrees): 4.8117 5.4549 9.1235 105.57 90.00 116.17
Last column: nearest neighbours and their distance in Å.
Sites, in units of the cell vectors:
Ti1 0.1289 0.2577 0.6330  3 Ta 2.80, 4 Ti 2.80-2.93, 1 Sn 3.03
Ti2 0.8711 0.7423 0.3670  3 Ta 2.80, 4 Ti 2.80-2.93, 1 Sn 3.03
Ti3 0.8705 0.7410 0.7156  3 Ta 2.67-2.97, 2 Ti 2.85-2.92, 2 Sn 2.92-2.94
Ti4 0.1295 0.2590 0.2844  3 Ta 2.67-2.97, 2 Ti 2.85-2.92, 2 Sn 2.92-2.94
Ti5 0.4060 0.8120 0.2248  2 Ta 2.67-2.86, 3 Ti 2.80-2.92, 3 Sn 2.93-2.94
Ti6 0.5940 0.1880 0.7752  2 Ta 2.67-2.86, 3 Ti 2.80-2.92, 3 Sn 2.93-2.94
Sn1 0.1400 0.2799 0.9680  6 Ti 2.92-3.03, 3 Sn 2.97-3.17
Sn2 0.8600 0.7201 0.0320  6 Ti 2.92-3.03, 3 Sn 2.97-3.17
Ta1 0.3670 0.7341 0.5237  8 Ti 2.67-2.97, 1 Ta 2.76
Ta2 0.6330 0.2659 0.4763  8 Ti 2.67-2.97, 1 Ta 2.76

***

The following is a DFT calculation (PBE) of a relaxed Y2HgSe crystal.

Output
Energy above the lowest structure with this stoichiometry (meV per atom): 207
Symmetry: P2/m (10)

Lattice parameters (Å, degrees): 3.6527 3.5528 8.0902 72.10 90.00 90.00
Last column: nearest neighbours and their distance in Å.
Sites, in units of the cell vectors:
Y1 0.0000 0.5608 0.5101  2 Se 2.89, 2 Hg 3.23
Y2 0.0000 0.9392 0.9899  2 Se 2.89, 2 Hg 3.23
Se1 0.5000 0.7500 0.7500  4 Y 2.89
Hg1 0.5000 0.2500 0.2500  8 Y 3.23-3.25, 2 Hg 3.55

***

The following is a DFT calculation (PBE) of a relaxed TaInW2 crystal.

Output
Final energy (eV/atom): -9.5874
Symmetry: R-3m (166)

Lattice parameters (Å, degrees): 10.0403 10.0403 10.0403 16.60 16.60 16.60
Last column: nearest neighbours and their distance in Å.
Sites, in units of the cell vectors:
In1 0.2500 0.2500 0.2500  6 In 2.90, 6 W 3.00
W1 0.4996 0.4996 0.4996  6 W 2.90, 3 Ta 2.98, 3 In 3.00
W2 0.0004 0.0004 0.0004  6 W 2.90, 3 Ta 2.98, 3 In 3.00
Ta1 0.7500 0.7500 0.7500  6 Ta 2.90, 6 W 2.98

***

The following is a DFT calculation (PBE) of a relaxed VBI2N crystal.

Output
Energy above the lowest structure with this stoichiometry (meV per atom): 365
Symmetry: P4/mmm (123)

Lattice parameters (Å, degrees): 5.5449 5.5449 3.6778 90.00 90.00 90.00
Last column: nearest neighbours and their distance in Å.
Sites, in units of the cell vectors:
I1 0.5000 0.0000 0.0000  2 V 2.77
I2 0.0000 0.5000 0.0000  2 V 2.77
N1 0.0000 0.0000 0.5000  2 V 1.84
B1 0.5000 0.5000 0.5000  8 I 3.33, 2 B 3.68
V1 0.0000 0.0000 0.0000  2 N 1.84

***

The following is a DFT calculation (PBE) of a relaxed Tb3EuMn crystal.

Output
Final energy (eV/atom): -6.4897
Symmetry: Pm-3m (221)

Lattice parameters (Å, degrees): 5.3870 5.3870 5.3870 90.00 90.00 90.00
Last column: nearest neighbours and their distance in Å.
Sites, in units of the cell vectors:
Tb1 0.5000 0.0000 0.0000  2 Mn 2.69
Tb2 0.0000 0.0000 0.5000  2 Mn 2.69
Tb3 0.0000 0.5000 0.0000  2 Mn 2.69
Mn1 0.0000 0.0000 0.0000  6 Tb 2.69
Eu1 0.5000 0.5000 0.5000  12 Tb 3.81

***

The following is a DFT calculation (PBE) of a relaxed Li2Pm3Zn7 crystal.

Output
Energy above the lowest structure with this stoichiometry (meV per atom): 0
Symmetry: R-3m (166)

Lattice parameters (Å, degrees): 5.4954 5.4954 9.3811 72.97 72.97 60.00
Last column: nearest neighbours and their distance in Å.
Sites, in units of the cell vectors:
Zn1 0.0797 0.5816 0.7571  2 Li 2.66-2.68, 5 Zn 2.74-2.77
Zn2 0.9203 0.4184 0.2429  2 Li 2.66-2.68, 5 Zn 2.74-2.77
Zn3 0.5000 0.5000 0.5000  6 Zn 2.77
Zn4 0.5816 0.0797 0.7571  2 Li 2.66-2.68, 5 Zn 2.74-2.77
Zn5 0.4184 0.9203 0.2429  2 Li 2.66-2.68, 5 Zn 2.74-2.77
Zn6 0.5816 0.5816 0.7571  2 Li 2.66-2.68, 5 Zn 2.74-2.77
Zn7 0.4184 0.4184 0.2429  2 Li 2.66-2.68, 5 Zn 2.74-2.77
Pm1 0.8627 0.8627 0.4118  12 Zn 3.13-3.43
Pm2 0.0000 0.0000 0.0000  6 Li 3.17, 12 Zn 3.49
Pm3 0.1373 0.1373 0.5882  12 Zn 3.13-3.43
Li1 0.3329 0.3329 0.0013  6 Zn 2.66-2.68
Li2 0.6671 0.6671 0.9987  6 Zn 2.66-2.68

***

The following is a DFT calculation (PBE) of a relaxed TaTlNiS3 crystal.

Output
Final energy (eV/atom): -6.1467
Symmetry: P2_1/m (11)

Lattice parameters (Å, degrees): 3.5306 8.4624 9.3300 115.16 90.00 90.00
Last column: nearest neighbours and their distance in Å.
Sites, in units of the cell vectors:
S1 0.2500 0.5313 0.8663  3 Ta 2.55-2.61
S2 0.7500 0.4687 0.1337  3 Ta 2.55-2.61
S3 0.7500 0.2147 0.5477  3 Ni 2.27-2.34, 1 Ta 2.39
S4 0.7500 0.8875 0.1393  1 Ni 2.25, 2 Ta 2.47
S5 0.2500 0.1125 0.8607  1 Ni 2.25, 2 Ta 2.47
S6 0.2500 0.7853 0.4523  3 Ni 2.27-2.34, 1 Ta 2.39
Tl1 0.2500 0.2488 0.2658  7 S 3.17-3.45, 2 Tl 3.53
Tl2 0.7500 0.7512 0.7342  7 S 3.17-3.45, 2 Tl 3.53
Ni1 0.2500 0.0868 0.6102  4 S 2.25-2.34
Ni2 0.7500 0.9132 0.3898  4 S 2.25-2.34
Ta1 0.2500 0.7017 0.1737  6 S 2.39-2.61
Ta2 0.7500 0.2983 0.8263  6 S 2.39-2.61

***

The following is a DFT calculation (PBE) of a relaxed Ca2BO4 crystal.

Output
Energy above the lowest structure with this stoichiometry (meV per atom): 0
Symmetry: P2_1/m (11)

Lattice parameters (Å, degrees): 5.2738 4.3620 7.5827 90.00 96.97 90.00
Last column: nearest neighbours and their distance in Å.
Sites, in units of the cell vectors:
O1 0.4935 0.5092 0.2848  1 B 1.52
O2 0.4935 0.9908 0.2848  1 B 1.52
O3 0.9191 0.2500 0.6571  1 B 1.48
O4 0.5065 0.0092 0.7152  1 B 1.52
O5 0.7929 0.2500 0.9585  1 B 1.44
O6 0.2071 0.7500 0.0415  1 B 1.44
O7 0.0809 0.7500 0.3429  1 B 1.48
O8 0.5065 0.4908 0.7152  1 B 1.52
Ca1 0.7618 0.7500 0.0768  6 O 2.37-2.48
Ca2 0.7590 0.7500 0.5264  7 O 2.32-2.50
Ca3 0.2410 0.2500 0.4736  7 O 2.32-2.50
Ca4 0.2382 0.2500 0.9232  6 O 2.37-2.48
B1 0.7099 0.2500 0.7706  4 O 1.44-1.52
B2 0.2901 0.7500 0.2294  4 O 1.44-1.52

***

The following is a DFT calculation (PBE) of a relaxed PbBr2 crystal.

Output
Final energy (eV/atom): -3.1291
Symmetry: I4/mcm (140)

Lattice parameters (Å, degrees): 6.2943 6.2943 6.2943 111.24 111.24 105.99
Last column: nearest neighbours and their distance in Å.
Sites, in units of the cell vectors:
Pb1 0.2500 0.2500 0.0000  8 Br 3.21
Pb2 0.7500 0.7500 0.0000  8 Br 3.21
Br1 0.3124 0.8124 0.1247  4 Pb 3.21
Br2 0.6876 0.1876 0.8753  4 Pb 3.21
Br3 0.8124 0.6876 0.5000  4 Pb 3.21
Br4 0.1876 0.3124 0.5000  4 Pb 3.21